1.
Entry from the Alexandria database: a relaxed CaPrDyTm crystal (GGA-PBE).

POSCAR file:
```
CaPrDyTm
1.0
5.7816 0.0000 0.0000
2.8908 5.0071 0.0000
2.8908 1.6690 4.7207
Ca Tm Dy Pr
1 1 1 1
Cartesian
2.8908 1.6690 1.1802 Ca
8.6725 5.0071 3.5405 Tm
0.0000 0.0000 0.0000 Dy
5.7816 3.3380 2.3603 Pr
```

Properties
DOS(E_F) = 6.5 states/eV per cell
Magnetization = 0.000 μB/cell
Total DFT energy (no corrections) = -3.833 eV/atom


2.
Entry from the Alexandria database: a relaxed Ac2Pr3Nd2 crystal (GGA-PBE).

POSCAR file:
```
Ac2Pr3Nd2
1.0
3.7232 0.0000 0.0000
0.0000 9.0594 -0.7487
-1.8616 -3.7403 8.3619
Pr Ac Nd
3 2 2
Cartesian
0.0000 5.7462 2.9255 Pr
0.0000 4.5297 -0.3744 Pr
1.8616 -0.4272 4.6876 Pr
0.0000 1.8697 2.1832 Ac
1.8616 3.4493 5.4300 Ac
0.0000 -2.3956 7.1890 Nd
1.8616 7.7146 0.4242 Nd
```

Properties
DOS(E_F) = 9.9 states/eV per cell
Magnetization = 0.000 μB/cell
Total DFT energy (no corrections) = -4.493 eV/atom


3.
Entry from the Alexandria database: a relaxed TaCd2Sb crystal (GGA-PBE).

POSCAR file:
```
TaCd2Sb
1.0
-2.3730 2.4889 3.6978
-1.9782 -3.4366 1.0436
3.0309 -0.9581 2.5900
Cd Sb Ta
2 1 1
Cartesian
0.0000 0.0000 0.0000 Cd
0.5264 -2.1974 1.8168 Cd
-2.1756 -0.4739 2.3707 Sb
0.3289 0.7654 3.1439 Ta
```

Properties
DOS(E_F) = 2.9 states/eV per cell
Magnetization = 0.000 μB/cell
Total DFT energy (no corrections) = -4.042 eV/atom
Raw formation energy = 0.409 eV per atom


4.
Entry from the Alexandria database: a relaxed LiEr6Tl5 crystal (GGA-PBE).

POSCAR file:
```
LiEr6Tl5
1.0
9.9920 -0.9439 0.0000
1.8891 6.0188 0.0000
0.9445 3.0094 5.4558
Tl Er Li
5 6 1
Cartesian
0.9445 3.0094 1.8401 Tl
6.8851 5.5468 1.7992 Tl
5.9405 2.5374 0.0000 Tl
1.8891 6.0188 3.6156 Tl
5.9405 2.5374 3.6565 Tl
8.8927 3.8295 3.6141 Er
4.8774 7.2641 3.6141 Er
3.9329 4.2547 1.8417 Er
2.9804 1.2944 0.0000 Er
7.9482 0.8201 1.8417 Er
8.9007 3.7805 0.0000 Er
0.0000 0.0000 0.0000 Li
```

Properties
DOS(E_F) = 7.1 states/eV per cell
Magnetization = 0.000 μB/cell
Total DFT energy (no corrections) = -3.605 eV/atom


- What is the DOS(E_F) in the second record?
  9.9 states/eV per cell